No. 1
POs2Ru | PBE-GGA | relaxed

abc: 4.309 4.309 4.309
angles: 60.00 60.00 60.00
Fractional positions:
P1 0.500 0.500 0.500
Os1 0.750 0.750 0.750
Os2 0.000 0.000 0.000
Ru1 0.250 0.250 0.250

Calculated values
Spin magnetization (μB per cell): 0.78
Calculated formation energy (eV per atom): 0.584
Density (g cm⁻³): 15.048
Raw total energy (eV per atom): -8.70



No. 2
POs2Ru | PBE-GGA | relaxed

abc: 8.265 8.265 8.265
angles: 19.46 19.46 19.46
Fractional positions:
Os1 0.243 0.243 0.243
Os2 0.757 0.757 0.757
P1 0.500 0.500 0.500
Ru1 0.000 0.000 0.000

Calculated values
Spin magnetization (μB per cell): 0.00
Calculated formation energy (eV per atom): 0.129
Density (g cm⁻³): 15.538
Raw total energy (eV per atom): -9.16



No. 3
POs2Ru | PBE-GGA | relaxed

abc: 5.152 5.152 5.152
angles: 148.04 130.46 60.18
Fractional positions:
Os1 0.788 0.788 0.000
Os2 0.212 0.212 0.000
Ru1 0.500 0.000 0.500
P1 0.000 0.500 0.500

Calculated values
Spin magnetization (μB per cell): 0.00
Calculated formation energy (eV per atom): 0.001
Density (g cm⁻³): 15.585
Raw total energy (eV per atom): -9.29



No. 4
POs4Ru | PBE-GGA | relaxed

abc: 5.130 5.130 5.130
angles: 60.00 60.00 60.00
Fractional positions:
Os1 0.374 0.374 0.374
Os2 0.877 0.374 0.374
Os3 0.374 0.374 0.877
Os4 0.374 0.877 0.374
Ru1 0.000 0.000 0.000
P1 0.750 0.750 0.750

Calculated values
Spin magnetization (μB per cell): 0.97
Calculated formation energy (eV per atom): 1.135
Density (g cm⁻³): 15.536
Raw total energy (eV per atom): -8.80



No. 5
POsRu | PBE-GGA | relaxed

abc: 5.200 5.200 5.200
angles: 147.91 147.91 46.02
Fractional positions:
P1 0.335 0.335 0.000
Os1 0.980 0.980 0.000
Ru1 0.686 0.686 0.000

Calculated values
Spin magnetization (μB per cell): 0.00
Calculated formation energy (eV per atom): -0.061
Density (g cm⁻³): 13.530
Energy relative to the lowest polymorph listed for this composition (eV/atom): 0.0138
Raw total energy (eV per atom): -8.70



No. 6
POsRu4 | PBE-GGA | relaxed

abc: 5.044 5.044 5.044
angles: 60.00 60.00 60.00
Fractional positions:
Ru1 0.375 0.375 0.874
Ru2 0.375 0.874 0.375
Ru3 0.375 0.375 0.375
Ru4 0.874 0.375 0.375
Os1 0.750 0.750 0.750
P1 0.000 0.000 0.000

Calculated values
Spin magnetization (μB per cell): 0.00
Calculated formation energy (eV per atom): 0.969
Density (g cm⁻³): 11.444
Raw total energy (eV per atom): -7.99



No. 7
POs2Ru | PBE-GGA | relaxed

abc: 2.847 2.847 6.650
angles: 90.00 90.00 90.00
Fractional positions:
Os1 0.000 0.000 0.786
Os2 0.000 0.000 0.214
Ru1 0.500 0.500 0.500
P1 0.500 0.500 0.000

Calculated values
Spin magnetization (μB per cell): 0.00
Calculated formation energy (eV per atom): 0.068
Density (g cm⁻³): 15.786
Raw total energy (eV per atom): -9.22



No. 8
POsRuS | PBE-GGA | relaxed

abc: 3.592 3.955 4.767
angles: 77.27 83.17 68.76
Fractional positions:
Ru1 0.842 0.611 0.843
Os1 0.562 0.070 0.271
S1 0.983 0.139 0.575
P1 0.268 0.693 0.125

Calculated values
Spin magnetization (μB per cell): 0.00
Formation energy without anion corrections (eV/atom): -0.02
Density (g cm⁻³): 9.566
Energy relative to the lowest polymorph listed for this composition (eV/atom): 0.1373
Raw total energy (eV per atom): -7.53



No. 9
POsRuS2 | PBE-GGA | relaxed

abc: 4.634 4.634 4.505
angles: 90.00 90.00 90.00
Fractional positions:
Ru1 0.500 0.500 0.500
Os1 0.000 0.000 0.000
S1 0.000 0.500 0.000
S2 0.500 0.000 0.000
P1 0.000 0.000 0.500

Calculated values
Spin magnetization (μB per cell): 1.72
Formation energy without anion corrections (eV/atom): 1.19
Density (g cm⁻³): 6.634
Energy relative to the lowest polymorph listed for this composition (eV/atom): 0.0000
Raw total energy (eV per atom): -5.64



No. 10
POsRuS | PBE-GGA | relaxed

abc: 6.670 3.086 6.386
angles: 90.00 107.01 90.00
Fractional positions:
S1 0.475 0.000 0.540
S2 0.475 0.500 0.040
Os1 0.677 0.000 0.288
Os2 0.677 0.500 0.788
Ru1 0.107 0.500 0.932
Ru2 0.107 0.000 0.432
P1 0.927 0.000 0.069
P2 0.927 0.500 0.569

Calculated values
Spin magnetization (μB per cell): 0.00
Formation energy without anion corrections (eV/atom): -0.09
Density (g cm⁻³): 9.363
Energy relative to the lowest polymorph listed for this composition (eV/atom): 0.0706
Raw total energy (eV per atom): -7.60



No. 11
POsRuS2 | PBE-GGA | relaxed

abc: 4.487 4.487 4.474
angles: 90.00 90.00 90.00
Fractional positions:
S1 0.000 0.500 0.000
S2 0.500 0.000 0.000
Os1 0.500 0.500 0.500
Ru1 0.000 0.000 0.000
P1 0.000 0.000 0.500

Calculated values
Spin magnetization (μB per cell): 0.00
Formation energy without anion corrections (eV/atom): 1.37
Density (g cm⁻³): 7.124
Energy relative to the lowest polymorph listed for this composition (eV/atom): 0.1765
Raw total energy (eV per atom): -5.47



No. 12
POsRuS | PBE-GGA | relaxed

abc: 3.014 4.186 5.682
angles: 77.14 74.63 68.86
Fractional positions:
P1 0.861 0.788 0.160
S1 0.959 0.128 0.621
Ru1 0.561 0.708 0.837
Os1 0.132 0.209 0.195

Calculated values
Spin magnetization (μB per cell): 0.00
Formation energy without anion corrections (eV/atom): -0.11
Density (g cm⁻³): 9.221
Energy relative to the lowest polymorph listed for this composition (eV/atom): 0.0519
Raw total energy (eV per atom): -7.62